TaNiW2: optimized geometry, GGA-PBE.

Computed properties:
E_form (meV per atom): 117
Symmetry: No. 71

Lattice parameters (Å, degrees): 5.1220 5.1220 5.1220 142.22 129.94 64.38
Fractional positions:
Ta 0.0000 0.0000 0.0000
Ni 0.5000 0.5000 0.0000
W 0.2487 0.7487 0.5000
W 0.7513 0.2513 0.5000



Sm4Ho2MgSc: optimized geometry, GGA-PBE.

Computed properties:
E_form (meV per atom): 21
Symmetry: No. 10

Lattice parameters (Å, degrees): 5.0149 5.0127 9.6942 90.00 90.05 90.00
Fractional positions:
Sm 0.9997 0.0000 0.2485
Sm 0.0003 0.0000 0.7515
Sm 0.4995 0.5000 0.2486
Sm 0.5005 0.5000 0.7514
Ho 0.0000 0.5000 0.0000
Ho 0.5000 0.0000 0.5000
Mg 0.0000 0.5000 0.5000
Sc 0.5000 0.0000 0.0000



Sc2SnTe: optimized geometry, GGA-PBE.

Computed properties:
Symmetry: No. 57
ΔE_f (raw) (kJ/mol of formula units): -328

Lattice parameters (Å, degrees): 8.3937 7.1474 7.0004 90.00 90.00 90.00
Fractional positions:
Sc 0.1211 0.2500 0.0000
Sc 0.1211 0.2500 0.5000
Sc 0.3651 0.7500 0.0000
Sc 0.3651 0.7500 0.5000
Sc 0.6349 0.2500 0.0000
Sc 0.6349 0.2500 0.5000
Sc 0.8789 0.7500 0.0000
Sc 0.8789 0.7500 0.5000
Sn 0.1246 0.5842 0.2500
Sn 0.1246 0.9158 0.7500
Sn 0.8754 0.0842 0.2500
Sn 0.8754 0.4158 0.7500
Te 0.3778 0.0873 0.2500
Te 0.3778 0.4127 0.7500
Te 0.6222 0.5873 0.2500
Te 0.6222 0.9127 0.7500



LaMnRu2: optimized geometry, GGA-PBE.

Computed properties:
E_form (meV per atom): 299
Symmetry: No. 44

Lattice parameters (Å, degrees): 5.7147 5.7147 5.7147 148.04 131.36 59.39
Fractional positions:
La 0.0000 0.0000 0.0000
Mn 0.2779 0.7779 0.5000
Ru 0.5131 0.5131 0.0000
Ru 0.7342 0.2342 0.5000



HoSi3Au3: optimized geometry, GGA-PBE.

Computed properties:
Symmetry: No. 223
ΔE_f (raw) (kJ/mol of formula units): 32

Lattice parameters (Å, degrees): 6.8013 6.8013 6.8013 90.00 90.00 90.00
Fractional positions:
Ho 0.0000 0.0000 0.0000
Ho 0.5000 0.5000 0.5000
Si 0.0000 0.2500 0.5000
Si 0.0000 0.7500 0.5000
Si 0.2500 0.5000 0.0000
Si 0.5000 0.0000 0.2500
Si 0.5000 0.0000 0.7500
Si 0.7500 0.5000 0.0000
Au 0.0000 0.5000 0.2500
Au 0.0000 0.5000 0.7500
Au 0.2500 0.0000 0.5000
Au 0.5000 0.2500 0.0000
Au 0.5000 0.7500 0.0000
Au 0.7500 0.0000 0.5000



Li2TbNdHg4: optimized geometry, GGA-PBE.

Computed properties:
E_form (meV per atom): -448
Symmetry: No. 166

Lattice parameters (Å, degrees): 8.8515 8.8515 8.8515 33.36 33.36 33.36
Fractional positions:
Li 0.2486 0.2486 0.2486
Li 0.7514 0.7514 0.7514
Tb 0.5000 0.5000 0.5000
Nd 0.0000 0.0000 0.0000
Hg 0.1268 0.1268 0.1268
Hg 0.3778 0.3778 0.3778
Hg 0.6222 0.6222 0.6222
Hg 0.8732 0.8732 0.8732



HoTmH4: optimized geometry, GGA-PBE.

Computed properties:
Symmetry: No. 141
VASP energy (eV/atom): -4.452

Lattice parameters (Å, degrees): 6.2747 6.2747 6.2747 132.16 132.16 69.98
Fractional positions:
Ho 0.3750 0.6250 0.7500
Ho 0.6250 0.3750 0.2500
Tm 0.1250 0.8750 0.2500
Tm 0.8750 0.1250 0.7500
H 0.0000 0.2466 0.2466
H 0.0000 0.7534 0.7534
H 0.2466 0.0000 0.7466
H 0.2466 0.5000 0.2466
H 0.5000 0.2466 0.7466
H 0.5000 0.7534 0.2534
H 0.7534 0.0000 0.2534
H 0.7534 0.5000 0.7534



LaIn2NiSn: optimized geometry, GGA-PBE.

Computed properties:
E_form (meV per atom): -282
Symmetry: No. 123

Lattice parameters (Å, degrees): 4.9903 4.9903 5.0468 90.00 90.00 90.00
Fractional positions:
La 0.0000 0.0000 0.0000
In 0.0000 0.5000 0.5000
In 0.5000 0.0000 0.5000
Ni 0.5000 0.5000 0.5000
Sn 0.5000 0.5000 0.0000



NdGdErHg: optimized geometry, GGA-PBE.

Computed properties:
E_form (meV per atom): -80
Symmetry: No. 216

Lattice parameters (Å, degrees): 5.4830 5.4830 5.4830 60.00 60.00 60.00
Fractional positions:
Nd 0.0000 0.0000 0.0000
Gd 0.5000 0.5000 0.5000
Er 0.2500 0.2500 0.2500
Hg 0.7500 0.7500 0.7500



InBi2S4Br: optimized geometry, GGA-PBE.

Computed properties:
Symmetry: No. 12
ΔE_f (raw) (kJ/mol of formula units): -375

Lattice parameters (Å, degrees): 6.7177 6.7177 9.8169 117.96 117.96 34.07
Fractional positions:
In 0.0000 0.0000 0.0000
Bi 0.1997 0.1997 0.7644
Bi 0.8003 0.8003 0.2356
S 0.1759 0.1759 0.2813
S 0.3829 0.3829 0.0614
S 0.6171 0.6171 0.9386
S 0.8241 0.8241 0.7187
Br 0.5000 0.5000 0.5000



LuMnRu2: optimized geometry, GGA-PBE.

Computed properties:
E_form (meV per atom): -135
Symmetry: No. 123

Lattice parameters (Å, degrees): 3.1448 3.1448 6.4565 90.00 90.00 90.00
Fractional positions:
Lu 0.0000 0.0000 0.0000
Mn 0.0000 0.0000 0.5000
Ru 0.5000 0.5000 0.2861
Ru 0.5000 0.5000 0.7139



La2DyGa: optimized geometry, GGA-PBE.

Computed properties:
E_form (meV per atom): -230
Symmetry: No. 123

Lattice parameters (Å, degrees): 3.7682 3.7682 8.7346 90.00 90.00 90.00
Fractional positions:
La 0.0000 0.0000 0.2089
La 0.0000 0.0000 0.7911
Dy 0.5000 0.5000 0.5000
Ga 0.5000 0.5000 0.0000



Dy2Tm2AlGa4: optimized geometry, GGA-PBE.

Computed properties:
E_form (meV per atom): -217
Symmetry: No. 139

Lattice parameters (Å, degrees): 6.5992 6.5992 6.5992 116.63 116.63 95.94
Fractional positions:
Dy 0.1885 0.1885 0.0000
Dy 0.8115 0.8115 0.0000
Tm 0.2500 0.7500 0.5000
Tm 0.7500 0.2500 0.5000
Al 0.5000 0.5000 0.0000
Ga 0.2486 0.2486 0.4972
Ga 0.2486 0.7514 0.0000
Ga 0.7514 0.2486 0.0000
Ga 0.7514 0.7514 0.5028



Mg2InAgP: optimized geometry, GGA-PBE.

Computed properties:
E_form (meV per atom): 0
Symmetry: No. 123

Lattice parameters (Å, degrees): 4.8847 4.8847 4.9635 90.00 90.00 90.00
Fractional positions:
Mg 0.0000 0.5000 0.0000
Mg 0.5000 0.0000 0.0000
In 0.0000 0.0000 0.5000
Ag 0.5000 0.5000 0.5000
P 0.5000 0.5000 0.0000



Rb2HfIrCl6: optimized geometry, GGA-PBE.

Computed properties:
Symmetry: No. 139
ΔE_f (raw) (kJ/mol of formula units): -1158

Lattice parameters (Å, degrees): 7.3943 7.3943 7.3943 112.22 112.22 104.11
Fractional positions:
Rb 0.2500 0.7500 0.5000
Rb 0.7500 0.2500 0.5000
Hf 0.0000 0.0000 0.0000
Ir 0.5000 0.5000 0.0000
Cl 0.2140 0.2140 0.4279
Cl 0.2140 0.7860 0.0000
Cl 0.2584 0.2584 0.0000
Cl 0.7416 0.7416 0.0000
Cl 0.7860 0.2140 0.0000
Cl 0.7860 0.7860 0.5721



BaCrGe2: optimized geometry, GGA-PBE.

Computed properties:
E_form (meV per atom): -144
Symmetry: No. 166

Lattice parameters (Å, degrees): 6.6114 6.6114 6.6114 38.12 38.12 38.12
Fractional positions:
Ba 0.0000 0.0000 0.0000
Cr 0.5000 0.5000 0.5000
Ge 0.2096 0.2096 0.2096
Ge 0.7904 0.7904 0.7904



HfCuBTe2: optimized geometry, GGA-PBE.

Computed properties:
Symmetry: No. 123
ΔE_f (raw) (kJ/mol of formula units): 275

Lattice parameters (Å, degrees): 5.2585 5.2585 3.7568 90.00 90.00 90.00
Fractional positions:
Hf 0.0000 0.0000 0.0000
Cu 0.5000 0.5000 0.5000
B 0.5000 0.5000 0.0000
Te 0.0000 0.5000 0.5000
Te 0.5000 0.0000 0.5000



BaMnAl3: optimized geometry, GGA-PBE.

Computed properties:
E_form (meV per atom): 1797
Symmetry: No. 221

Lattice parameters (Å, degrees): 5.8655 5.8655 5.8655 90.00 90.00 90.00
Fractional positions:
Ba 0.0000 0.0000 0.0000
Mn 0.5000 0.5000 0.5000
Al 0.0000 0.0000 0.5000
Al 0.0000 0.5000 0.0000
Al 0.5000 0.0000 0.0000



PaAl9Ir3: optimized geometry, GGA-PBE.

Computed properties:
E_form (meV per atom): -586
Symmetry: No. 12

Lattice parameters (Å, degrees): 6.7984 6.7984 6.7776 98.89 98.89 133.16
Fractional positions:
Pa 0.0000 0.0000 0.0000
Al 0.0000 0.0000 0.5000
Al 0.0030 0.3584 0.3401
Al 0.2887 0.5083 0.7878
Al 0.3584 0.0030 0.3401
Al 0.4917 0.7113 0.2122
Al 0.5083 0.2887 0.7878
Al 0.6416 0.9970 0.6599
Al 0.7113 0.4917 0.2122
Al 0.9970 0.6416 0.6599
Ir 0.0000 0.5000 0.0000
Ir 0.5000 0.0000 0.0000
Ir 0.5000 0.5000 0.5000



Tb2Pr7Tm2: optimized geometry, GGA-PBE.

Computed properties:
E_form (meV per atom): 133
Symmetry: No. 12

Lattice parameters (Å, degrees): 8.1760 8.1760 6.1555 105.24 105.24 90.18
Fractional positions:
Tb 0.2257 0.2257 0.0913
Tb 0.7743 0.7743 0.9087
Pr 0.0000 0.0000 0.5000
Pr 0.0485 0.5855 0.3181
Pr 0.4145 0.9515 0.6819
Pr 0.4263 0.4263 0.7010
Pr 0.5737 0.5737 0.2990
Pr 0.5855 0.0485 0.3181
Pr 0.9515 0.4145 0.6819
Tm 0.2152 0.7848 0.0000
Tm 0.7848 0.2152 0.0000